Entry 1:
First-principles (PBE) data for a geometry-optimized PrB4Pd3O12 structure, as listed in Alexandria.

It has space group R32 (No. 155, hexagonal axes), with a = 9.8258 Å, b = 9.8258 Å, c = 8.0889 Å, α = 90.00°, β = 90.00° and γ = 120.00°. The inequivalent atoms are Pr at (0.0000, 0.0000, 0.0000), B at (0.0000, 0.0000, 0.5000), B at (0.0000, 0.4493, 0.5000), Pd at (0.0000, 0.5466, 0.0000), O at (0.0000, 0.5933, 0.5000), O at (0.0000, 0.8590, 0.5000) and O at (0.0166, 0.2058, 0.1803).

The calculation puts the total magnetic moment at 4.32 μB per cell. The value obtained for the density is 5.1 g cm⁻³. The value obtained for the raw total energy is -7.0009 eV per atom. As for the formation energy without anion corrections: -1673 meV per atom.

***

Entry 2:
First-principles (PBE) data for a geometry-optimized Pr3B2PdO8 structure, as listed in Alexandria.

It has space group P-3m1 (No. 164), with a = 5.1551 Å, b = 5.1551 Å, c = 7.4466 Å, α = 90.00°, β = 90.00° and γ = 120.00°. The inequivalent atoms are Pr at (0.0000, 0.0000, 0.0000), Pr at (0.3333, 0.6667, 0.7000), B at (0.3333, 0.6667, 0.1964), Pd at (0.0000, 0.0000, 0.5000), O at (0.1768, 0.3536, 0.2617) and O at (0.3333, 0.6667, 0.9957).

The calculation puts the total magnetic moment at 1.00 μB per cell. The value obtained for the density is 6.6 g cm⁻³. The value obtained for the raw total energy is -7.7052 eV per atom. As for the formation energy without anion corrections: -2523 meV per atom.

***

Entry 3:
First-principles (PBE) data for a geometry-optimized PrB2PdO6 structure, as listed in Alexandria.

It has space group R-3 (No. 148, hexagonal axes), with a = 4.9657 Å, b = 4.9657 Å, c = 16.6420 Å, α = 90.00°, β = 90.00° and γ = 120.00°. The inequivalent atoms are Pr at (0.0000, 0.0000, 0.0000), B at (0.0000, 0.0000, 0.2382), Pd at (0.0000, 0.0000, 0.5000) and O at (0.0277, 0.2916, 0.2429).

The calculation puts the total magnetic moment at 3.05 μB per cell. The value obtained for the density is 5.1 g cm⁻³. The value obtained for the raw total energy is -7.4149 eV per atom. As for the formation energy without anion corrections: -2107 meV per atom.

***

Entry 4:
First-principles (PBE) data for a geometry-optimized Rb2B2PdO6 structure, as listed in Alexandria.

It has space group R-3m (No. 166, hexagonal axes), with a = 5.2532 Å, b = 5.2532 Å, c = 18.9921 Å, α = 90.00°, β = 90.00° and γ = 120.00°. The inequivalent atoms are Rb at (0.0000, 0.0000, 0.2080), B at (0.0000, 0.0000, 0.3892), Pd at (0.0000, 0.0000, 0.0000) and O at (0.0285, 0.5142, 0.2693).

The calculation puts the total magnetic moment at 0.00 μB per cell. The value obtained for the density is 4.3 g cm⁻³. The value obtained for the raw total energy is -6.1524 eV per atom. As for the formation energy without anion corrections: -1586 meV per atom.

***

Entry 5:
First-principles (PBE) data for a geometry-optimized RbB4Pd3O12 structure, as listed in Alexandria.

It has space group R32 (No. 155, hexagonal axes), with a = 9.7281 Å, b = 9.7281 Å, c = 8.3277 Å, α = 90.00°, β = 90.00° and γ = 120.00°. The inequivalent atoms are Rb at (0.0000, 0.0000, 0.0000), B at (0.0000, 0.0000, 0.5000), B at (0.0000, 0.4393, 0.5000), Pd at (0.0000, 0.5538, 0.0000), O at (0.0000, 0.5863, 0.5000), O at (0.0000, 0.8567, 0.5000) and O at (0.0193, 0.2113, 0.2116).

The calculation puts the total magnetic moment at 0.00 μB per cell. The value obtained for the density is 4.7 g cm⁻³. The value obtained for the raw total energy is -6.4916 eV per atom. As for the formation energy without anion corrections: -1354 meV per atom.

***

Entry 6:
First-principles (PBE) data for a geometry-optimized Sr3B2PdO6 structure, as listed in Alexandria.

It has space group P-3m1 (No. 164), with a = 5.3438 Å, b = 5.3438 Å, c = 7.6277 Å, α = 90.00°, β = 90.00° and γ = 120.00°. The inequivalent atoms are Sr at (0.0000, 0.0000, 0.0000), Sr at (0.3333, 0.6667, 0.6931), B at (0.3333, 0.6667, 0.2308), Pd at (0.0000, 0.0000, 0.5000) and O at (0.1839, 0.3678, 0.2321).

The calculation puts the total magnetic moment at 0.00 μB per cell. The value obtained for the density is 4.3 g cm⁻³. The value obtained for the raw total energy is -6.7087 eV per atom. As for the formation energy without anion corrections: -2263 meV per atom.

***

Entry 7:
First-principles (PBE) data for a geometry-optimized SrBPdO4 structure, as listed in Alexandria.

It has space group Cmcm (No. 63), with a = 6.0605 Å, b = 8.9858 Å, c = 6.4661 Å, α = 90.00°, β = 90.00° and γ = 90.00°. The inequivalent atoms are Sr at (0.0000, 0.0000, 0.0000), B at (0.0000, 0.3760, 0.2500), Pd at (0.0000, 0.3244, 0.7500), O at (0.0000, 0.2795, 0.0626) and O at (0.1958, 0.4751, 0.2500).

The calculation puts the total magnetic moment at 4.02 μB per cell. The value obtained for the density is 5.1 g cm⁻³. The value obtained for the raw total energy is -6.3745 eV per atom. As for the formation energy without anion corrections: -1605 meV per atom.

***

Entry 8:
First-principles (PBE) data for a geometry-optimized SrBPdO5 structure, as listed in Alexandria.

It has space group C2/c (No. 15), with a = 6.5583 Å, b = 8.9273 Å, c = 7.0351 Å, α = 90.00°, β = 115.24° and γ = 90.00°. The inequivalent atoms are Sr at (0.0000, 0.1497, 0.2500), B at (0.0000, 0.2033, 0.7500), Pd at (0.0000, 0.5000, 0.0000), O at (0.0000, 0.4154, 0.2500), O at (0.0994, 0.2872, 0.6324) and O at (0.1701, 0.0925, 0.9072).

The calculation puts the total magnetic moment at 4.13 μB per cell. The value obtained for the density is 5.1 g cm⁻³. The value obtained for the raw total energy is -6.3247 eV per atom. As for the formation energy without anion corrections: -1532 meV per atom.

***

Entry 9:
First-principles (PBE) data for a geometry-optimized Sr2B2PdO6 structure, as listed in Alexandria.

It has space group R-3m (No. 166, hexagonal axes), with a = 5.2632 Å, b = 5.2632 Å, c = 17.3381 Å, α = 90.00°, β = 90.00° and γ = 120.00°. The inequivalent atoms are Sr at (0.0000, 0.0000, 0.2158), B at (0.0000, 0.0000, 0.4194), Pd at (0.0000, 0.0000, 0.0000) and O at (0.0283, 0.5141, 0.2445).

The calculation puts the total magnetic moment at 5.85 μB per cell. The value obtained for the density is 4.8 g cm⁻³. The value obtained for the raw total energy is -6.8985 eV per atom. As for the formation energy without anion corrections: -2202 meV per atom.

***

Entry 10:
First-principles (PBE) data for a geometry-optimized Sr2BPdO5 structure, as listed in Alexandria.

It has space group Cmc2_1 (No. 36), with a = 3.3651 Å, b = 13.7651 Å, c = 10.2590 Å, α = 90.00°, β = 90.00° and γ = 90.00°. The inequivalent atoms are Sr at (0.0000, 0.1062, 0.0000), Sr at (0.0000, 0.1430, 0.6603), B at (0.0000, 0.4382, 0.7365), Pd at (0.0000, 0.1945, 0.3636), O at (0.0000, 0.0457, 0.3298), O at (0.0000, 0.2935, 0.9849), O at (0.0000, 0.3376, 0.7144), O at (0.0000, 0.3413, 0.3434) and O at (0.0000, 0.4957, 0.1391).

The calculation puts the total magnetic moment at 0.00 μB per cell. The value obtained for the density is 5.2 g cm⁻³. The value obtained for the raw total energy is -6.3478 eV per atom. As for the formation energy without anion corrections: -1901 meV per atom.

***

Entry 11:
First-principles (PBE) data for a geometry-optimized TcBPd2O structure, as listed in Alexandria.

It has space group P4/mmm (No. 123), with a = 4.0635 Å, b = 4.0635 Å, c = 4.3184 Å, α = 90.00°, β = 90.00° and γ = 90.00°. The inequivalent atoms are Tc at (0.0000, 0.0000, 0.0000), B at (0.0000, 0.0000, 0.5000), Pd at (0.0000, 0.5000, 0.5000) and O at (0.5000, 0.5000, 0.0000).

The calculation puts the total magnetic moment at 3.58 μB per cell. The value obtained for the density is 7.9 g cm⁻³. The value obtained for the raw total energy is -5.8298 eV per atom. As for the formation energy without anion corrections: 648 meV per atom.

***

Entry 12:
First-principles (PBE) data for a geometry-optimized Tl2B2PdO6 structure, as listed in Alexandria.

It has space group R-3m (No. 166, hexagonal axes), with a = 5.1420 Å, b = 5.1420 Å, c = 22.1077 Å, α = 90.00°, β = 90.00° and γ = 120.00°. The inequivalent atoms are Tl at (0.0000, 0.0000, 0.2202), B at (0.0000, 0.0000, 0.3820), Pd at (0.0000, 0.0000, 0.0000) and O at (0.0237, 0.5118, 0.2774).

The calculation puts the total magnetic moment at 0.00 μB per cell. The value obtained for the density is 6.2 g cm⁻³. The value obtained for the raw total energy is -6.1017 eV per atom. As for the formation energy without anion corrections: -1281 meV per atom.